1.
This record from Alexandria via LeMat-Bulk describes a relaxed structure of Ti7Rh2O2. The functional is PBE-GGA.

```
data_Ti7Rh2O2
_chemical_formula_sum 'Ti14 Rh4 O4'
_cell_length_a 9.415
_cell_length_b 6.448
_cell_length_c 5.286
_cell_angle_alpha 90.00
_cell_angle_beta 94.77
_cell_angle_gamma 90.00
_symmetry_space_group_name_H-M 'C 1 2/m 1'
_symmetry_Int_Tables_number 12
loop_
_symmetry_equiv_pos_as_xyz
'x,y,z'
'-x,-y,-z'
'-x,y,-z'
'x,-y,z'
'x+1/2,y+1/2,z'
'-x+1/2,-y+1/2,-z'
'-x+1/2,y+1/2,-z'
'x+1/2,-y+1/2,z'
loop_
_atom_site_label
_atom_site_type_symbol
_atom_site_fract_x
_atom_site_fract_y
_atom_site_fract_z
Ti1 Ti 0.000 0.000 0.000
Ti2 Ti 0.065 0.500 0.774
Ti3 Ti 0.207 0.284 0.235
Rh1 Rh 0.000 0.192 0.500
O1 O 0.227 0.000 0.038
```

Computed properties:
Its total energy is -8.289 eV per atom.

2.
This record from Alexandria via LeMat-Bulk describes a relaxed structure of TiRh3O. The functional is PBE-GGA.

```
data_TiRh3O
_chemical_formula_sum 'Ti1 Rh3 O1'
_cell_length_a 4.105
_cell_length_b 4.105
_cell_length_c 4.105
_cell_angle_alpha 90.00
_cell_angle_beta 90.00
_cell_angle_gamma 90.00
_symmetry_space_group_name_H-M 'P m -3 m'
_symmetry_Int_Tables_number 221
_symmetry_space_group_name_Hall '-P 4 2 3'
loop_
_atom_site_label
_atom_site_type_symbol
_atom_site_fract_x
_atom_site_fract_y
_atom_site_fract_z
Ti1 Ti 0.000 0.000 0.000
Rh1 Rh 0.000 0.500 0.500
O1 O 0.500 0.500 0.500
```

Computed properties:
Its total energy is -7.121 eV per atom.

3.
This record from Alexandria via LeMat-Bulk describes a relaxed structure of TiRhO2. The functional is PBE-GGA.

```
data_TiRhO2
_chemical_formula_sum 'Ti4 Rh4 O8'
_cell_length_a 4.711
_cell_length_b 4.711
_cell_length_c 9.566
_cell_angle_alpha 90.00
_cell_angle_beta 90.00
_cell_angle_gamma 90.00
_symmetry_space_group_name_H-M 'I -4 2 d'
_symmetry_Int_Tables_number 122
_symmetry_space_group_name_Hall 'I -4 2bw'
loop_
_atom_site_label
_atom_site_type_symbol
_atom_site_fract_x
_atom_site_fract_y
_atom_site_fract_z
Ti1 Ti 0.000 0.000 0.000
Rh1 Rh 0.000 0.000 0.500
O1 O 0.179 0.250 0.125
```

Computed properties:
Its total energy is -7.796 eV per atom.

4.
This record from Alexandria via LeMat-Bulk describes a relaxed structure of Ti6Rh3O. The functional is PBE-GGA.

```
data_Ti6Rh3O
_chemical_formula_sum 'Ti12 Rh6 O2'
_cell_length_a 5.315
_cell_length_b 7.075
_cell_length_c 9.628
_cell_angle_alpha 90.00
_cell_angle_beta 122.69
_cell_angle_gamma 90.00
_symmetry_space_group_name_H-M 'P 1 21/c 1'
_symmetry_Int_Tables_number 14
loop_
_symmetry_equiv_pos_as_xyz
'x,y,z'
'-x,-y,-z'
'-x,y+1/2,-z+1/2'
'x,-y+1/2,z+1/2'
loop_
_atom_site_label
_atom_site_type_symbol
_atom_site_fract_x
_atom_site_fract_y
_atom_site_fract_z
Ti1 Ti 0.068 0.080 0.233
Ti2 Ti 0.251 0.750 0.090
Ti3 Ti 0.378 0.145 0.039
Rh1 Rh 0.279 0.085 0.698
Rh2 Rh 0.500 0.000 0.500
O1 O 0.000 0.000 0.000
```

Computed properties:
Its total energy is -8.296 eV per atom.

5.
This record from Alexandria via LeMat-Bulk describes a relaxed structure of Ti6Rh2O. The functional is PBE-GGA.

```
data_Ti6Rh2O
_chemical_formula_sum 'Ti12 Rh4 O2'
_cell_length_a 5.408
_cell_length_b 5.639
_cell_length_c 10.218
_cell_angle_alpha 90.00
_cell_angle_beta 118.43
_cell_angle_gamma 90.00
_symmetry_space_group_name_H-M 'P 1 21/c 1'
_symmetry_Int_Tables_number 14
loop_
_symmetry_equiv_pos_as_xyz
'x,y,z'
'-x,-y,-z'
'-x,y+1/2,-z+1/2'
'x,-y+1/2,z+1/2'
loop_
_atom_site_label
_atom_site_type_symbol
_atom_site_fract_x
_atom_site_fract_y
_atom_site_fract_z
Ti1 Ti 0.128 0.006 0.243
Ti2 Ti 0.205 0.682 0.031
Ti3 Ti 0.366 0.198 0.039
Rh1 Rh 0.339 0.089 0.755
O1 O 0.000 0.000 0.000
```

Computed properties:
Its total energy is -8.296 eV per atom.

6.
This record from Alexandria via LeMat-Bulk describes a relaxed structure of TiRh6O12. The functional is PBE-GGA.

```
data_TiRh6O12
_chemical_formula_sum 'Ti3 Rh18 O36'
_cell_length_a 9.0497
_cell_length_b 9.0497
_cell_length_c 8.7802
_cell_angle_alpha 90.00
_cell_angle_beta 90.00
_cell_angle_gamma 120.00
_symmetry_space_group_name_H-M 'R -3'
_symmetry_Int_Tables_number 148
_symmetry_space_group_name_Hall '-R 3'
loop_
_atom_site_label
_atom_site_type_symbol
_atom_site_fract_x
_atom_site_fract_y
_atom_site_fract_z
Ti1 Ti 0.0000 0.0000 0.0000
Rh1 Rh 0.0395 0.2418 0.6622
O1 O 0.0327 0.2184 0.3981
O2 O 0.0362 0.1972 0.8799
```

Computed properties:
Its total energy is -6.678 eV per atom.